# Sr2TiCoO5

A relaxed structure of Sr2TiCoO5 (GGA+U, Alexandria).

The total energy is -63.42 eV per formula unit. As for the size of the total moment: 12.0 μB per cell. As for the calculated volume: 486.7 Å³ per cell.

The structure belongs to space group Cmc2_1 (No. 36); the cell edges are 3.251, 14.027 and 10.673 Å and the angles 90.00°, 90.00° and 90.00°. The distinct sites, in fractional coordinates, are Sr at (0.000, 0.098, 0.000), Sr at (0.000, 0.133, 0.628), Ti at (0.000, 0.217, 0.345), Co at (0.000, 0.447, 0.780), O at (0.000, 0.068, 0.381), O at (0.000, 0.278, 0.969), O at (0.000, 0.302, 0.727), O at (0.000, 0.348, 0.326) and O at (0.000, 0.500, 0.117).